# 1
An optimized crystal structure of PrB, computed with PBE.

abc: 3.6502 3.6502 3.7491
angles: 90.00 90.00 120.00
Element x y z (fractional)
Pr  0.0000  0.0000  0.0000
B  0.3333  0.6667  0.5000

Space group = P-6m2 (187)
Energy above the lowest structure with this stoichiometry = 27.7 kJ/mol of formula units

# 2
An optimized crystal structure of PaCuPb, computed with PBE.

abc: 4.9243 4.9243 4.9243
angles: 60.00 60.00 60.00
Element x y z (fractional)
Pa  0.0000  0.0000  0.0000
Cu  0.7500  0.7500  0.7500
Pb  0.2500  0.2500  0.2500

Space group = F-43m (216)
Energy above the lowest structure with this stoichiometry = 147.3 kJ/mol of formula units

# 3
An optimized crystal structure of ErBeB4, computed with PBE.

abc: 3.1011 3.1011 6.6317
angles: 90.00 90.00 120.00
Element x y z (fractional)
Er  0.0000  0.0000  0.0000
Be  0.0000  0.0000  0.5000
B  0.3333  0.6667  0.2932
B  0.3333  0.6667  0.7068
B  0.6667  0.3333  0.2932
B  0.6667  0.3333  0.7068

Space group = P6/mmm (191)
Energy above the lowest structure with this stoichiometry = 0.0 kJ/mol of formula units

# 4
An optimized crystal structure of YLuNb2Si2, computed with PBE.

abc: 3.9918 3.9918 7.6851
angles: 90.00 90.00 90.00
Element x y z (fractional)
Y  0.0000  0.0000  0.0000
Lu  0.5000  0.5000  0.7069
Nb  0.0000  0.5000  0.3579
Nb  0.5000  0.0000  0.3579
Si  0.0000  0.0000  0.6017
Si  0.5000  0.5000  0.1143

Space group = P4mm (99)
Total DFT energy (no corrections) = -7.64 eV per atom

# 5
An optimized crystal structure of ThZn, computed with PBE.

abc: 5.4020 6.7618 10.7211
angles: 90.00 90.00 90.00
Element x y z (fractional)
Th  0.2500  0.0024  0.0856
Th  0.2500  0.2500  0.3753
Th  0.2500  0.2500  0.7834
Th  0.2500  0.4976  0.0856
Th  0.7500  0.5024  0.9144
Th  0.7500  0.7500  0.2166
Th  0.7500  0.7500  0.6247
Th  0.7500  0.9976  0.9144
Zn  0.2500  0.5489  0.5819
Zn  0.2500  0.7500  0.3671
Zn  0.2500  0.7500  0.8141
Zn  0.2500  0.9511  0.5819
Zn  0.7500  0.0489  0.4181
Zn  0.7500  0.2500  0.1859
Zn  0.7500  0.2500  0.6329
Zn  0.7500  0.4511  0.4181

Space group = Pmmn (59)
ΔE_f = -0.3 kcal/mol of atoms

# 6
An optimized crystal structure of TmNi4Ge2, computed with PBE.

abc: 7.2544 7.2544 3.7466
angles: 90.00 90.00 90.00
Element x y z (fractional)
Tm  0.0000  0.0000  0.0000
Tm  0.5000  0.5000  0.5000
Ni  0.0861  0.3432  0.5000
Ni  0.1568  0.5861  0.0000
Ni  0.3432  0.0861  0.5000
Ni  0.4139  0.8432  0.0000
Ni  0.5861  0.1568  0.0000
Ni  0.6568  0.9139  0.5000
Ni  0.8432  0.4139  0.0000
Ni  0.9139  0.6568  0.5000
Ge  0.2195  0.7805  0.5000
Ge  0.2805  0.2805  0.0000
Ge  0.7195  0.7195  0.0000
Ge  0.7805  0.2195  0.5000

Space group = P4_2/mnm (136)
Total DFT energy (no corrections) = -5.68 eV per atom

Spin magnetization readings, ordered: 0.0; 0.0; 0.0; 1.0; 0.0; 0.0 μB/cell